No. 1
The following is a SCAN calculation of a crystal of Cu2TcW relaxed with PBEsol, from Alexandria via LeMat-Bulk.

Cell lengths 8.841, 2.550, 4.741 Å; angles 90.00, 97.09, 90.00 degrees
Space group Cm (No. 8)
One atom of each set of equivalent atoms:
Cu 0.000 0.000 0.000
Cu 0.246 0.500 0.222
Tc 0.254 0.000 0.734
W 0.494 0.000 0.489

Output
Final energy = -33.53 eV/atom
ρ = 12.8 Mg/m³
Total magnetic moment = 0.0 μB per formula unit
Polymorph energy (0 for the lowest one) = 36 meV per atom
Energy relative to the elements = 0.2562 eV/atom



No. 2
The following is a SCAN calculation of a crystal of CuTcW relaxed with PBEsol, from Alexandria via LeMat-Bulk.

Cell lengths 5.684, 5.684, 5.684 Å; angles 90.00, 90.00, 90.00 degrees
Space group F-43m (No. 216)
One atom of each set of equivalent atoms:
Cu 0.000 0.000 0.000
Tc 0.250 0.250 0.750
W 0.250 0.250 0.250

Output
Final energy = -39.00 eV/atom
ρ = 12.5 Mg/m³
Total magnetic moment = 0.0 μB per formula unit
Energy relative to the elements = 0.9847 eV/atom



No. 3
The following is a SCAN calculation of a crystal of Cu2TcW relaxed with PBEsol, from Alexandria via LeMat-Bulk.

Cell lengths 9.004, 2.659, 4.535 Å; angles 90.00, 100.07, 90.00 degrees
Space group C2/m (No. 12)
One atom of each set of equivalent atoms:
Cu 0.249 0.000 0.249
Tc 0.000 0.500 0.000
W 0.000 0.000 0.500

Output
Final energy = -33.48 eV/atom
ρ = 12.7 Mg/m³
Total magnetic moment = 0.0 μB per formula unit
Polymorph energy (0 for the lowest one) = 89 meV per atom
Energy relative to the elements = 0.3088 eV/atom



No. 4
The following is a SCAN calculation of a crystal of YCuTc relaxed with PBEsol, from Alexandria via LeMat-Bulk.

Cell lengths 6.172, 6.172, 6.172 Å; angles 90.00, 90.00, 90.00 degrees
Space group F-43m (No. 216)
One atom of each set of equivalent atoms:
Y 0.000 0.000 0.000
Cu 0.000 0.000 0.500
Tc 0.250 0.250 0.250

Output
Final energy = -25.28 eV/atom
ρ = 7.1 Mg/m³
Total magnetic moment = 2.0 μB per formula unit
Energy relative to the elements = 0.7516 eV/atom



No. 5
The following is a SCAN calculation of a crystal of Y2CuTc relaxed with PBEsol, from Alexandria via LeMat-Bulk.

Cell lengths 4.774, 4.774, 3.429 Å; angles 90.00, 90.00, 90.00 degrees
Space group P4/mmm (No. 123)
One atom of each set of equivalent atoms:
Y 0.000 0.500 0.000
Cu 0.000 0.000 0.500
Tc 0.500 0.500 0.500

Output
Final energy = -26.56 eV/atom
ρ = 7.2 Mg/m³
Total magnetic moment = 0.0 μB per formula unit
Energy relative to the elements = -0.0734 eV/atom



No. 6
The following is a SCAN calculation of a crystal of YCu2Tc relaxed with PBEsol, from Alexandria via LeMat-Bulk.

Cell lengths 3.298, 3.298, 5.796 Å; angles 90.00, 90.00, 90.00 degrees
Space group P4/mmm (No. 123)
One atom of each set of equivalent atoms:
Y 0.000 0.000 0.000
Cu 0.500 0.500 0.294
Tc 0.000 0.000 0.500

Output
Final energy = -23.16 eV/atom
ρ = 8.3 Mg/m³
Total magnetic moment = 0.0 μB per formula unit
Polymorph energy (0 for the lowest one) = 0 meV per atom
Energy relative to the elements = 0.1703 eV/atom



No. 7
The following is a SCAN calculation of a crystal of YCuTc3 relaxed with PBEsol, from Alexandria via LeMat-Bulk.

Cell lengths 4.488, 4.488, 4.488 Å; angles 90.00, 90.00, 90.00 degrees
Space group Pm-3m (No. 221)
One atom of each set of equivalent atoms:
Y 0.000 0.000 0.000
Cu 0.500 0.500 0.500
Tc 0.000 0.500 0.500

Output
Final energy = -28.47 eV/atom
ρ = 8.2 Mg/m³
Total magnetic moment = 0.1 μB per formula unit
Energy relative to the elements = 1.1770 eV/atom



No. 8
The following is a SCAN calculation of a crystal of YCu2Tc relaxed with PBEsol, from Alexandria via LeMat-Bulk.

Cell lengths 3.859, 3.859, 8.339 Å; angles 90.00, 90.00, 90.00 degrees
Space group I-4m2 (No. 119)
One atom of each set of equivalent atoms:
Y 0.000 0.000 0.000
Cu 0.000 0.000 0.500
Cu 0.000 0.500 0.250
Tc 0.000 0.500 0.750

Output
Final energy = -23.09 eV/atom
ρ = 8.4 Mg/m³
Total magnetic moment = 0.0 μB per formula unit
Polymorph energy (0 for the lowest one) = 64 meV per atom
Energy relative to the elements = 0.2348 eV/atom